5
Lattice="5.907 -2.759 3.002 0.410 -2.681 6.645 -3.965 -0.262 -5.977" Properties=species:S:1:pos:R:3 comment="Y2MgAl2, optimized geometry, DFT PBE-GGA" m_tot_mub_per_cell=1.0 crystal_system=tetragonal formation_energy_ev_per_fu=0.7 energy_ev_per_atom=-4.2539 space_group="I4/mmm (139)" pbc="T T T"
Al 3.768 -3.245 5.754
Y 2.550 -2.870 0.924
Y -0.198 -2.832 2.746
Mg 0.000 0.000 0.000
Al 2.549 -2.195 3.894

10
Lattice="-5.437 -3.171 -3.911 1.403 -6.482 3.306 -2.912 1.015 3.225" Properties=species:S:1:pos:R:3 comment="Y2MgAl2, optimized geometry, DFT PBE-GGA" m_tot_mub_per_cell=0.0 crystal_system=tetragonal formation_energy_ev_per_fu=-1.8 energy_ev_per_atom=-4.7704 space_group="P4/mbm (127)" pbc="T T T"
Al -0.805 -6.846 1.427
Y -5.505 -4.262 -0.542
Al -3.870 -6.831 -1.345
Al -3.229 -2.807 -2.032
Mg 0.000 0.000 0.000
Y -1.441 -4.376 3.163
Y -3.936 -6.997 1.735
Mg -2.017 -4.827 -0.303
Al -0.164 -2.822 0.740
Y -3.011 -1.642 0.885

6
Lattice="-0.698 3.393 0.526 -1.615 0.951 -8.317 -4.586 -1.062 0.769" Properties=species:S:1:pos:R:3 comment="YMgAl, optimized geometry, DFT PBE-GGA" m_tot_mub_per_cell=0.0 polymorph_energy_kj_per_mol_atoms=8.45 crystal_system=monoclinic formation_energy_ev_per_fu=-0.7 energy_ev_per_atom=-4.1823 space_group="P2_1/m (11)" pbc="T T T"
Al -4.919 0.222 -0.136
Y -5.758 2.210 -2.398
Mg -3.425 1.231 -4.638
Mg -5.997 0.855 -5.699
Y -4.363 3.268 -7.412
Al -2.891 0.910 -1.884

6
Lattice="-2.524 -2.742 2.094 3.721 -4.614 -1.559 6.100 -0.115 2.836" Properties=species:S:1:pos:R:3 comment="YMgAl, optimized geometry, DFT PBE-GGA" m_tot_mub_per_cell=0.0 polymorph_energy_kj_per_mol_atoms=12.37 crystal_system=orthorhombic formation_energy_ev_per_fu=-0.6 energy_ev_per_atom=-4.1417 space_group="Immm (71)" pbc="T T T"
Y 2.131 -3.903 1.910
Y 0.831 -0.416 0.546
Al 2.265 -2.842 -0.902
Al 4.418 -6.092 1.799
Mg 7.304 -5.656 1.483
Mg 5.479 -3.393 2.249

6
Lattice="3.499 0.000 0.000 0.000 8.368 0.000 0.000 0.000 4.834" Properties=species:S:1:pos:R:3 comment="YMgAl, optimized geometry, DFT PBE-GGA" m_tot_mub_per_cell=0.0 polymorph_energy_kj_per_mol_atoms=9.76 crystal_system=orthorhombic formation_energy_ev_per_fu=-0.7 energy_ev_per_atom=-4.1687 space_group="Pmmm (47)" pbc="T T T"
Mg 2.384 3.470 1.694
Mg 2.384 0.620 1.694
Y 0.636 6.229 1.694
Al 2.386 7.578 4.111
Al 2.387 4.879 4.111
Y 0.635 2.045 4.111

4
Lattice="-1.385 5.224 -1.223 -4.537 0.288 -3.169 1.288 -2.498 4.776" Properties=species:S:1:pos:R:3 comment="YMgAl2, optimized geometry, DFT PBE-GGA" m_tot_mub_per_cell=0.0 crystal_system=orthorhombic formation_energy_ev_per_fu=-0.7 energy_ev_per_atom=-4.0666 space_group="Imm2 (44)" pbc="T T T"
Mg -2.953 2.749 -2.191
Y -3.054 0.227 -0.257
Al -5.842 5.439 -4.333
Al -1.666 2.869 0.576

5
Lattice="3.345 0.000 0.000 0.000 4.735 0.897 0.000 0.920 8.090" Properties=species:S:1:pos:R:3 comment="Y2Mg2Al, optimized geometry, DFT PBE-GGA" m_tot_mub_per_cell=0.3 polymorph_energy_kj_per_mol_atoms=0.00 crystal_system=orthorhombic formation_energy_ev_per_fu=-0.6 energy_ev_per_atom=-4.1007 space_group="Cmmm (65)" pbc="T T T"
Mg 0.000 4.156 3.953
Mg 0.000 1.499 5.034
Y 1.673 2.067 2.034
Y 1.673 3.588 6.953
Al 0.000 0.000 0.000

6
Lattice="4.828 -0.001 -0.001 -2.410 5.461 0.025 -2.410 0.945 5.379" Properties=species:S:1:pos:R:3 comment="YMgAl, optimized geometry, DFT PBE-GGA" m_tot_mub_per_cell=0.0 polymorph_energy_kj_per_mol_atoms=8.65 crystal_system=orthorhombic formation_energy_ev_per_fu=-0.7 energy_ev_per_atom=-4.1802 space_group="Imm2 (44)" pbc="T T T"
Mg -0.523 1.198 5.045
Mg -0.523 3.491 2.328
Y -2.937 3.352 4.537
Al -0.520 5.479 4.298
Y -2.935 5.722 1.955
Al 1.890 2.530 1.296

4
Lattice="4.910 0.000 0.000 2.455 4.252 0.000 2.455 1.417 4.009" Properties=species:S:1:pos:R:3 comment="YMgAl2, optimized geometry, DFT PBE-GGA" m_tot_mub_per_cell=0.0 crystal_system=cubic formation_energy_ev_per_fu=-0.2 energy_ev_per_atom=-3.9473 space_group="F-43m (216)" pbc="T T T"
Al 7.365 4.252 3.007
Al 0.000 0.000 0.000
Mg 4.910 2.835 2.004
Y 2.455 1.417 1.002

6
Lattice="-3.248 -1.638 -3.116 2.305 -3.547 -4.224 -1.758 -5.608 1.095" Properties=species:S:1:pos:R:3 comment="YMgAl, optimized geometry, DFT PBE-GGA" m_tot_mub_per_cell=0.0 polymorph_energy_kj_per_mol_atoms=10.44 crystal_system=orthorhombic formation_energy_ev_per_fu=-0.7 energy_ev_per_atom=-4.1616 space_group="Ima2 (46)" pbc="T T T"
Y -0.791 -5.552 -4.573
Al -0.561 -8.526 -3.252
Y -2.817 -6.593 -1.913
Mg -3.101 -3.514 -3.232
Al -2.766 -8.193 -4.808
Mg -0.790 -4.059 -1.676

4
Lattice="-1.820 3.533 1.898 0.106 -2.040 3.902 3.939 1.630 0.745" Properties=species:S:1:pos:R:3 comment="YMgAl2, optimized geometry, DFT PBE-GGA" m_tot_mub_per_cell=0.0 crystal_system=tetragonal formation_energy_ev_per_fu=-1.4 energy_ev_per_atom=-4.2248 space_group="P4/mmm (123)" pbc="T T T"
Al 0.000 0.000 0.000
Mg 1.060 2.582 1.321
Y 2.023 -0.205 2.323
Al -0.857 0.746 2.900

4
Lattice="-7.848 -3.711 5.233 -8.967 -4.157 2.253 -7.037 -6.352 3.590" Properties=species:S:1:pos:R:3 comment="YMgAl2, optimized geometry, DFT PBE-GGA" m_tot_mub_per_cell=0.0 crystal_system=trigonal formation_energy_ev_per_fu=0.0 energy_ev_per_atom=-3.8781 space_group="R-3m (166)" pbc="T T T"
Mg -5.963 -3.555 2.769
Y -17.889 -10.665 8.307
Al -23.759 -14.165 11.033
Al -12.019 -7.165 5.581